A geometry-optimized PrSm2Si4Ni4 structure, computed with GGA-PBE.

Geometry as CIF:
```
data_PrSm2Si4Ni4
_chemical_formula_sum 'Pr2 Sm4 Si8 Ni8'
_space_group_name_H-M_alt 'I m m m'
_space_group_IT_number 71
_space_group_name_Hall '-I 2 2'
_cell_length_a 4.068
_cell_length_b 4.070
_cell_length_c 23.183
_cell_angle_alpha 90.00
_cell_angle_beta 90.00
_cell_angle_gamma 90.00
loop_
_atom_site_label
_atom_site_fract_x
_atom_site_fract_y
_atom_site_fract_z
Pr1 0.000 0.000 0.000
Sm1 0.000 0.500 0.351
Si1 0.000 0.000 0.447
Si2 0.000 0.500 0.199
Ni1 0.000 0.000 0.249
Ni2 0.000 0.500 0.100
```

Results
E_tot, eV per atom: -6.07
Density, g cm⁻³: 6.8
Crystal system: orthorhombic